1.
Computed, not measured: a relaxed Tm5CdPb4 crystal at the PBE level of DFT.

As for the electronic total energy: -81.1 eV/cell. The calculation puts the energy relative to the elements at -0.246 eV/atom.

The structure belongs to space group I4 (No. 79); the cell edges are 9.6721, 9.6721 and 6.2854 Å and the angles 90.00°, 90.00° and 90.00°. Symmetry generates all atoms from Tm at (0.0000, 0.0000, 0.0000), Tm at (0.0917, 0.6871, 0.3098), Cd at (0.0000, 0.0000, 0.4978) and Pb at (0.1038, 0.7191, 0.8065).

=====

2.
Computed, not measured: a relaxed Tm5Cd4Pb crystal at the PBE level of DFT.

As for the electronic total energy: -32.9 eV/cell. The calculation puts the energy relative to the elements at -0.320 eV/atom.

The structure belongs to space group P4/mmm (No. 123); the cell edges are 3.7186, 3.7186 and 18.5760 Å and the angles 90.00°, 90.00° and 90.00°. Symmetry generates all atoms from Tm at (0.0000, 0.0000, 0.0000), Tm at (0.0000, 0.0000, 0.1969), Tm at (0.0000, 0.0000, 0.3928), Cd at (0.5000, 0.5000, 0.0996), Cd at (0.5000, 0.5000, 0.2926) and Pb at (0.5000, 0.5000, 0.5000).

=====

3.
Computed, not measured: a relaxed Tm8CdPb6 crystal at the PBE level of DFT.

As for the electronic total energy: -191.8 eV/cell. The calculation puts the energy relative to the elements at -0.332 eV/atom.

The structure belongs to space group R-3 (No. 148, hexagonal axes); the cell edges are 9.0999, 9.0999 and 19.0880 Å and the angles 90.00°, 90.00° and 120.00°. Symmetry generates all atoms from Tm at (0.0000, 0.0000, 0.1668), Tm at (0.0029, 0.7167, 0.5946), Cd at (0.0000, 0.0000, 0.5000) and Pb at (0.0016, 0.6301, 0.4230).

=====

4.
Computed, not measured: a relaxed Tm4CdPb2 crystal at the PBE level of DFT.

As for the electronic total energy: -52.4 eV/cell. The calculation puts the energy relative to the elements at 0.006 eV/atom.

The structure belongs to space group I4/mmm (No. 139); the cell edges are 5.6840, 5.6840 and 13.2454 Å and the angles 90.00°, 90.00° and 90.00°. Symmetry generates all atoms from Tm at (0.0000, 0.5000, 0.0000), Tm at (0.0000, 0.5000, 0.2500), Cd at (0.0000, 0.0000, 0.0000) and Pb at (0.0000, 0.0000, 0.3638).

=====

5.
Computed, not measured: a relaxed Tm6Cd5Pb crystal at the PBE level of DFT.

As for the electronic total energy: -78.1 eV/cell. The calculation puts the energy relative to the elements at -0.327 eV/atom.

The structure belongs to space group Cmmm (No. 65); the cell edges are 5.2698, 15.8515 and 7.3343 Å and the angles 90.00°, 90.00° and 90.00°. Symmetry generates all atoms from Tm at (0.0000, 0.0000, 0.2481), Tm at (0.0000, 0.3316, 0.2457), Cd at (0.0000, 0.1650, 0.0000), Cd at (0.0000, 0.1739, 0.5000), Cd at (0.0000, 0.5000, 0.0000) and Pb at (0.0000, 0.5000, 0.5000).

=====

6.
Computed, not measured: a relaxed Tm3CdPb3 crystal at the PBE level of DFT.

The energy above the most stable polymorph in this dataset is 0.0 meV/atom. As for the electronic total energy: -109.3 eV/cell. The calculation puts the energy relative to the elements at -0.267 eV/atom.

The structure belongs to space group P2_13 (No. 198); the cell edges are 9.2308, 9.2308 and 9.2308 Å and the angles 90.00°, 90.00° and 90.00°. Symmetry generates all atoms from Tm at (0.0152, 0.2054, 0.8714), Cd at (0.0567, 0.5567, 0.9433), Pb at (0.1068, 0.3932, 0.6068), Pb at (0.1426, 0.8574, 0.3574) and Pb at (0.1854, 0.1854, 0.1854).

=====

7.
Computed, not measured: a relaxed Tm12CdPb3 crystal at the PBE level of DFT.

As for the electronic total energy: -69.0 eV/cell. The calculation puts the energy relative to the elements at -0.209 eV/atom.

The structure belongs to space group P4/mmm (No. 123); the cell edges are 4.7993, 4.7993 and 19.1661 Å and the angles 90.00°, 90.00° and 90.00°. Symmetry generates all atoms from Tm at (0.0000, 0.0000, 0.0000), Tm at (0.0000, 0.0000, 0.2501), Tm at (0.0000, 0.0000, 0.5000), Tm at (0.0000, 0.5000, 0.1239), Tm at (0.0000, 0.5000, 0.3751), Cd at (0.5000, 0.5000, 0.0000), Pb at (0.5000, 0.5000, 0.2480) and Pb at (0.5000, 0.5000, 0.5000).

=====

8.
Computed, not measured: a relaxed TmCd2Pb crystal at the PBE level of DFT.

The energy above the most stable polymorph in this dataset is 129.8 meV/atom. As for the electronic total energy: -10.6 eV/cell. The calculation puts the energy relative to the elements at -0.147 eV/atom.

The structure belongs to space group P4/mmm (No. 123); the cell edges are 3.5677, 3.5677 and 8.2274 Å and the angles 90.00°, 90.00° and 90.00°. Symmetry generates all atoms from Tm at (0.0000, 0.0000, 0.0000), Cd at (0.5000, 0.5000, 0.2416) and Pb at (0.0000, 0.0000, 0.5000).

=====

9.
Computed, not measured: a relaxed TmCdPb2 crystal at the PBE level of DFT.

The energy above the most stable polymorph in this dataset is 0.0 meV/atom. As for the electronic total energy: -13.8 eV/cell. The calculation puts the energy relative to the elements at -0.250 eV/atom.

The structure belongs to space group P4/mmm (No. 123); the cell edges are 4.8756, 4.8756 and 4.4726 Å and the angles 90.00°, 90.00° and 90.00°. Symmetry generates all atoms from Tm at (0.0000, 0.0000, 0.0000), Cd at (0.5000, 0.5000, 0.0000) and Pb at (0.0000, 0.5000, 0.5000).

=====

10.
Computed, not measured: a relaxed Tm2CdPb3 crystal at the PBE level of DFT.

The energy above the most stable polymorph in this dataset is 0.0 meV/atom. As for the electronic total energy: -45.9 eV/cell. The calculation puts the energy relative to the elements at -0.326 eV/atom.

The structure belongs to space group Cmmm (No. 65); the cell edges are 4.4931, 15.5059 and 4.6274 Å and the angles 90.00°, 90.00° and 90.00°. Symmetry generates all atoms from Tm at (0.0000, 0.1529, 0.0000), Cd at (0.0000, 0.0000, 0.5000), Pb at (0.0000, 0.3281, 0.5000) and Pb at (0.0000, 0.5000, 0.0000).

=====

11.
Computed, not measured: a relaxed TmCd2Pb crystal at the PBE level of DFT.

The energy above the most stable polymorph in this dataset is 52.3 meV/atom. As for the electronic total energy: -21.8 eV/cell. The calculation puts the energy relative to the elements at -0.224 eV/atom.

The structure belongs to space group I4/mmm (No. 139); the cell edges are 4.4878, 4.4878 and 10.0076 Å and the angles 90.00°, 90.00° and 90.00°. Symmetry generates all atoms from Tm at (0.0000, 0.0000, 0.0000), Cd at (0.0000, 0.5000, 0.2500) and Pb at (0.0000, 0.0000, 0.5000).

=====

12.
Computed, not measured: a relaxed Tm3CdPb6 crystal at the PBE level of DFT.

As for the electronic total energy: -229.2 eV/cell. The calculation puts the energy relative to the elements at -0.162 eV/atom.

The structure belongs to space group R-3 (No. 148, hexagonal axes); the cell edges are 13.8346, 13.8346 and 10.3584 Å and the angles 90.00°, 90.00° and 120.00°. Symmetry generates all atoms from Tm at (0.0552, 0.8727, 0.2488), Cd at (0.0000, 0.0000, 0.0000), Cd at (0.0000, 0.0000, 0.5000), Pb at (0.0357, 0.7907, 0.5496) and Pb at (0.0772, 0.8214, 0.9358).

=====

13.
Computed, not measured: a relaxed Tm2CdPb5 crystal at the PBE level of DFT.

As for the electronic total energy: -59.7 eV/cell. The calculation puts the energy relative to the elements at -0.183 eV/atom.

The structure belongs to space group I4mm (No. 107); the cell edges are 7.8101, 7.8101 and 7.4009 Å and the angles 90.00°, 90.00° and 90.00°. Symmetry generates all atoms from Tm at (0.0000, 0.5000, 0.0000), Cd at (0.0000, 0.0000, 0.9995), Pb at (0.0000, 0.0000, 0.5005) and Pb at (0.2498, 0.2498, 0.2499).

=====

14.
Computed, not measured: a relaxed Tm4CdPb5 crystal at the PBE level of DFT.

As for the electronic total energy: -77.7 eV/cell. The calculation puts the energy relative to the elements at -0.150 eV/atom.

The structure belongs to space group I4 (No. 79); the cell edges are 9.6459, 9.6459 and 6.3299 Å and the angles 90.00°, 90.00° and 90.00°. Symmetry generates all atoms from Tm at (0.0917, 0.3020, 0.0000), Cd at (0.0000, 0.0000, 0.2644), Pb at (0.0000, 0.0000, 0.7778) and Pb at (0.0982, 0.2824, 0.4962).

=====

15.
Computed, not measured: a relaxed Tm2CdPb crystal at the PBE level of DFT.

As for the electronic total energy: -14.9 eV/cell. The calculation puts the energy relative to the elements at -0.332 eV/atom.

The structure belongs to space group P4/mmm (No. 123); the cell edges are 3.8277, 3.8277 and 7.1946 Å and the angles 90.00°, 90.00° and 90.00°. Symmetry generates all atoms from Tm at (0.0000, 0.0000, 0.2439), Cd at (0.5000, 0.5000, 0.0000) and Pb at (0.5000, 0.5000, 0.5000).

=====

16.
Computed, not measured: a relaxed TmCd2Pb crystal at the PBE level of DFT.

The energy above the most stable polymorph in this dataset is 0.0 meV/atom. As for the electronic total energy: -11.1 eV/cell. The calculation puts the energy relative to the elements at -0.277 eV/atom.

The structure belongs to space group P4/mmm (No. 123); the cell edges are 4.4864, 4.4864 and 4.9175 Å and the angles 90.00°, 90.00° and 90.00°. Symmetry generates all atoms from Tm at (0.0000, 0.0000, 0.0000), Cd at (0.0000, 0.5000, 0.5000) and Pb at (0.5000, 0.5000, 0.0000).

=====

17.
Computed, not measured: a relaxed TmCdPb2 crystal at the PBE level of DFT.

The energy above the most stable polymorph in this dataset is 42.3 meV/atom. As for the electronic total energy: -27.3 eV/cell. The calculation puts the energy relative to the elements at -0.208 eV/atom.

The structure belongs to space group Cmmm (No. 65); the cell edges are 7.3527, 8.0369 and 3.6836 Å and the angles 90.00°, 90.00° and 90.00°. Symmetry generates all atoms from Tm at (0.0000, 0.0000, 0.0000), Cd at (0.0000, 0.5000, 0.0000) and Pb at (0.2500, 0.2500, 0.5000).

=====

18.
Computed, not measured: a relaxed Tm2Cd3Pb3 crystal at the PBE level of DFT.

As for the electronic total energy: -25.0 eV/cell. The calculation puts the energy relative to the elements at -0.268 eV/atom.

The structure belongs to space group Pmmm (No. 47); the cell edges are 4.6540, 4.8604 and 9.0785 Å and the angles 90.00°, 90.00° and 90.00°. Symmetry generates all atoms from Tm at (0.0000, 0.0000, 0.2495), Cd at (0.0000, 0.5000, 0.0000), Cd at (0.5000, 0.5000, 0.2371), Pb at (0.0000, 0.5000, 0.5000), Pb at (0.5000, 0.0000, 0.0000) and Pb at (0.5000, 0.0000, 0.5000).

=====

19.
Computed, not measured: a relaxed Tm3CdPb3 crystal at the PBE level of DFT.

The energy above the most stable polymorph in this dataset is 120.1 meV/atom. As for the electronic total energy: -53.0 eV/cell. The calculation puts the energy relative to the elements at -0.147 eV/atom.

The structure belongs to space group P6_3/m (No. 176); the cell edges are 9.2064, 9.2064 and 6.1401 Å and the angles 90.00°, 90.00° and 120.00°. Symmetry generates all atoms from Tm at (0.0418, 0.3703, 0.2500), Cd at (0.3333, 0.6667, 0.7500) and Pb at (0.0325, 0.3289, 0.7500).

=====

20.
Computed, not measured: a relaxed Tm2CdPb3 crystal at the PBE level of DFT.

The energy above the most stable polymorph in this dataset is 197.3 meV/atom. As for the electronic total energy: -87.0 eV/cell. The calculation puts the energy relative to the elements at -0.129 eV/atom.

The structure belongs to space group Cmcm (No. 63); the cell edges are 14.3126, 10.0938 and 5.1358 Å and the angles 90.00°, 90.00° and 90.00°. Symmetry generates all atoms from Tm at (0.1207, 0.1188, 0.2500), Cd at (0.0000, 0.1734, 0.7500), Pb at (0.0000, 0.3959, 0.2500) and Pb at (0.2387, 0.3744, 0.2500).